# La4Pr3Sm5 (PBE, optimized geometry)
data_La4Pr3Sm5
_symmetry_space_group_name_H-M 'P 1'
_symmetry_Int_Tables_number 1
_symmetry_space_group_name_Hall 'P 1'
_cell_length_a 6.402
_cell_length_b 7.358
_cell_length_c 9.052
_cell_angle_alpha 90.30
_cell_angle_beta 90.16
_cell_angle_gamma 90.10
loop_
_atom_site_label
_atom_site_type_symbol
_atom_site_fract_x
_atom_site_fract_y
_atom_site_fract_z
La1 La 0.168 0.000 0.168
La2 La 0.332 0.251 0.831
La3 La 0.668 0.749 0.169
La4 La 0.832 0.000 0.832
Pr1 Pr 0.332 0.749 0.832
Pr2 Pr 0.500 0.500 0.500
Pr3 Pr 0.668 0.251 0.168
Sm1 Sm 0.001 0.749 0.500
Sm2 Sm 0.166 0.500 0.169
Sm3 Sm 0.500 0.000 0.500
Sm4 Sm 0.834 0.500 0.831
Sm5 Sm 0.999 0.251 0.500
# spin magnetization = 0.000 μB/atom
# uncorrected energy = -4.79 eV per atom
# formation enthalpy at 0 K = 0.017 eV/atom
# offset from the most stable computed form = 0.000 eV/atom
# SG = P-1, No. 2



# KSn (PBE, optimized geometry)
data_KSn
_symmetry_space_group_name_H-M 'P 1'
_symmetry_Int_Tables_number 1
_symmetry_space_group_name_Hall 'P 1'
_cell_length_a 9.690
_cell_length_b 9.690
_cell_length_c 9.690
_cell_angle_alpha 93.25
_cell_angle_beta 93.25
_cell_angle_gamma 152.44
loop_
_atom_site_label
_atom_site_type_symbol
_atom_site_fract_x
_atom_site_fract_y
_atom_site_fract_z
K1 K 0.000 0.238 0.238
K2 K 0.000 0.762 0.762
K3 K 0.238 0.000 0.238
K4 K 0.762 0.000 0.762
Sn1 Sn 0.295 0.295 0.589
Sn2 Sn 0.295 0.705 0.000
Sn3 Sn 0.705 0.295 0.000
Sn4 Sn 0.705 0.705 0.411
# spin magnetization = 0.000 μB/atom
# uncorrected energy = -2.71 eV per atom
# formation enthalpy at 0 K = -0.162 eV/atom
# SG = I4/mmm, No. 139



# CaTm2GaAu4 (PBE, optimized geometry)
data_CaTm2GaAu4
_symmetry_space_group_name_H-M 'P 1'
_symmetry_Int_Tables_number 1
_symmetry_space_group_name_Hall 'P 1'
_cell_length_a 8.624
_cell_length_b 8.624
_cell_length_c 8.624
_cell_angle_alpha 33.19
_cell_angle_beta 33.19
_cell_angle_gamma 33.19
loop_
_atom_site_label
_atom_site_type_symbol
_atom_site_fract_x
_atom_site_fract_y
_atom_site_fract_z
Ca1 Ca 0.000 0.000 0.000
Tm1 Tm 0.244 0.244 0.244
Tm2 Tm 0.756 0.756 0.756
Ga1 Ga 0.500 0.500 0.500
Au1 Au 0.123 0.123 0.123
Au2 Au 0.378 0.378 0.378
Au3 Au 0.622 0.622 0.622
Au4 Au 0.877 0.877 0.877
# spin magnetization = 0.000 μB/atom
# uncorrected energy = -4.12 eV per atom
# formation enthalpy at 0 K = -0.735 eV/atom
# SG = R-3m, No. 166